# GGA-PBE SnHg2BiPb4, relaxed
# Space-group type: P2/m, No. 10
# Total magnetic moment in μB per formula unit: 0.00
# E_form in eV per formula unit: 0.585
# Total energy in eV/atom: -2.84
data_SnHg2BiPb4
_chemical_formula_sum 'Sn1 Hg2 Bi1 Pb4'
_cell_length_a 7.087
_cell_length_b 5.463
_cell_length_c 7.250
_cell_angle_alpha 90.00
_cell_angle_beta 117.87
_cell_angle_gamma 90.00
_space_group_name_H-M_alt 'P 1'
_space_group_IT_number 1
loop_
_space_group_symop_operation_xyz
'x,y,z'
loop_
_atom_site_label
_atom_site_fract_x
_atom_site_fract_y
_atom_site_fract_z
_atom_site_occupancy
Sn1 0.000 0.000 0.000 1
Hg1 0.500 0.000 0.000 1
Hg2 0.500 0.500 0.500 1
Bi1 0.000 0.500 0.500 1
Pb1 0.257 0.000 0.486 1
Pb2 0.258 0.500 0.003 1
Pb3 0.742 0.500 0.997 1
Pb4 0.743 0.000 0.514 1